YNbTc2 | PBE | relaxed

Output
Theoretical density in g/cm3: 7.99
Formation energy in eV per formula unit: 2.12

Cell: 7.335 7.335 5.838 Å, 90.00 90.00 90.00°
Space group I-42d (No. 122)
Symmetry-distinct sites (fractional):
Y  0.000  0.000  0.000 (multiplicity 4)
Nb  0.000  0.000  0.500 (multiplicity 4)
Tc  0.217  0.250  0.625 (multiplicity 8)